Entry 1:
# PBE Ce2Dy2Os3, relaxed
# - ΔH_f (0 K): -1.3 eV per formula unit
# - Electronic total energy: -112.04 eV for the cell shown
data_Ce2Dy2Os3
_cell_length_a 8.229
_cell_length_b 4.772
_cell_length_c 8.539
_cell_angle_alpha 90.00
_cell_angle_beta 108.96
_cell_angle_gamma 90.00
_symmetry_space_group_name_H-M 'C 1 2/m 1'
_symmetry_Int_Tables_number 12
loop_
_symmetry_equiv_pos_as_xyz
'x,y,z'
'-x,-y,-z'
'-x,y,-z'
'x,-y,z'
'x+1/2,y+1/2,z'
'-x+1/2,-y+1/2,-z'
'-x+1/2,y+1/2,-z'
'x+1/2,-y+1/2,z'
loop_
_atom_site_label
_atom_site_fract_x
_atom_site_fract_y
_atom_site_fract_z
Ce1 0.121 0.000 0.363
Dy1 0.128 0.500 0.882
Os1 0.000 0.500 0.500
Os2 0.245 0.000 0.739


Entry 2:
# PBE ZnCd2GaHg, relaxed
# - Distance to the lowest polymorph of the same formula: 0 meV/atom
# - ΔH_f (0 K): 1.0 eV per formula unit
# - Electronic total energy: -5.47 eV for the cell shown
data_ZnCd2GaHg
_cell_length_a 5.165
_cell_length_b 5.165
_cell_length_c 4.893
_cell_angle_alpha 90.00
_cell_angle_beta 90.00
_cell_angle_gamma 90.00
_symmetry_space_group_name_H-M 'P 4/m m m'
_symmetry_Int_Tables_number 123
_symmetry_space_group_name_Hall '-P 4 2'
loop_
_atom_site_label
_atom_site_fract_x
_atom_site_fract_y
_atom_site_fract_z
Zn1 0.000 0.000 0.000
Cd1 0.000 0.500 0.000
Ga1 0.000 0.000 0.500
Hg1 0.500 0.500 0.500


Entry 3:
# PBE TbTeBr, relaxed
# - Electronic total energy: -13.29 eV for the cell shown
data_TbTeBr
_cell_length_a 4.8921
_cell_length_b 4.8921
_cell_length_c 4.1807
_cell_angle_alpha 90.00
_cell_angle_beta 90.00
_cell_angle_gamma 120.00
_symmetry_space_group_name_H-M 'P -6 m 2'
_symmetry_Int_Tables_number 187
_symmetry_space_group_name_Hall 'P -6 2'
loop_
_atom_site_label
_atom_site_fract_x
_atom_site_fract_y
_atom_site_fract_z
Tb1 0.0000 0.0000 0.0000
Te1 0.6667 0.3333 0.5000
Br1 0.3333 0.6667 0.0000


Entry 4:
# PBE Ce3Pm4DyS8, relaxed
# - Electronic total energy: -321.07 eV for the cell shown
data_Ce3Pm4DyS8
_cell_length_a 8.0325
_cell_length_b 8.0325
_cell_length_c 19.6386
_cell_angle_alpha 90.00
_cell_angle_beta 90.00
_cell_angle_gamma 120.00
_symmetry_space_group_name_H-M 'R -3 m'
_symmetry_Int_Tables_number 166
_symmetry_space_group_name_Hall '-R 3 2"'
loop_
_atom_site_label
_atom_site_fract_x
_atom_site_fract_y
_atom_site_fract_z
Ce1 0.0000 0.5000 0.0000
Pm1 0.0000 0.0000 0.5000
Pm2 0.0000 0.5000 0.5000
Dy1 0.0000 0.0000 0.0000
S1 0.0000 0.0000 0.2501
S2 0.0050 0.5025 0.7485


Per-record total magnetic moment, μB/f.u.: 0.000, 0.000, 0.000, 1.985